1.
A relaxed MgZrPaTc crystal, computed with PBE.

Structure (POSCAR):
```
MgZrPaTc
1.0
-0.946 -3.044 3.584
-0.852 -4.625 -0.944
3.223 -3.332 1.231
Mg Pa Zr Tc
1 1 1 1
Direct
0.000 0.000 0.000
0.500 0.500 0.500
0.250 0.250 0.250
0.750 0.750 0.750
```

Values from the calculation:
DFT formation energy	2	kJ per mole of atoms
DOS(E_F)	0.64	states/eV per atom
magnetization	0.000	Bohr magnetons per cell

***

2.
A relaxed HfSe2BrN crystal, computed with PBE.

Structure (POSCAR):
```
HfSe2BrN
1.0
5.151 0.000 0.000
0.000 5.151 0.000
0.000 0.000 3.735
Hf N Se Br
1 1 2 1
Direct
0.500 0.500 0.500
0.000 0.000 0.500
0.500 0.000 0.000
0.000 0.500 0.000
0.000 0.000 0.000
```

Values from the calculation:
ΔE_f (raw)	1.186	eV/atom
DOS(E_F)	0.63	states/eV per atom
energy above the most stable polymorph in this dataset	1095	meV per atom
magnetization	0.388	Bohr magnetons per cell

***

Question: Which value of magnetization does entry 2 give?
Answer: 0.388 Bohr magnetons per cell